(1)
{
  "formula": "CsUGeTe3",
  "functional": "PBE",
  "state": "relaxed",
  "sg": "P2_1/m",
  "formation_energy_uncorrected_ev_per_fu": -3.51,
  "cell": [[10.055, 0.000, 0.000], [0.000, 4.180, 0.000], [-3.687, 0.000, 9.780]],
  "species": ["Cs", "Cs", "U", "U", "Ge", "Ge", "Te", "Te", "Te", "Te", "Te", "Te"],
  "frac_coords": [[0.226, 0.250, 0.479], [0.774, 0.750, 0.521], [0.220, 0.250, 0.988], [0.780, 0.750, 0.012], [0.470, 0.750, 0.076], [0.530, 0.250, 0.924], [0.119, 0.750, 0.150], [0.170, 0.750, 0.768], [0.469, 0.250, 0.263], [0.531, 0.750, 0.737], [0.830, 0.250, 0.232], [0.881, 0.250, 0.850]]
}

---

(2)
{
  "formula": "CsGeTe2W",
  "functional": "PBE",
  "state": "relaxed",
  "sg": "P4/mmm",
  "formation_energy_uncorrected_ev_per_fu": 13.67,
  "cell": [[6.092, 0.000, 0.000], [0.000, 6.092, 0.000], [0.000, 0.000, 5.606]],
  "species": ["Cs", "Ge", "Te", "Te", "W"],
  "frac_coords": [[0.000, 0.000, 0.000], [0.000, 0.000, 0.500], [0.000, 0.500, 0.000], [0.500, 0.000, 0.000], [0.500, 0.500, 0.500]]
}

---

(3)
{
  "formula": "CsYGeTe4",
  "functional": "PBE",
  "state": "relaxed",
  "sg": "P2_1/m",
  "formation_energy_uncorrected_ev_per_fu": -5.61,
  "cell": [[7.216, 0.000, 0.000], [0.000, 7.717, 0.000], [-3.463, 0.000, 9.912]],
  "species": ["Cs", "Cs", "Y", "Y", "Ge", "Ge", "Te", "Te", "Te", "Te", "Te", "Te", "Te", "Te"],
  "frac_coords": [[0.229, 0.250, 0.053], [0.771, 0.750, 0.947], [0.228, 0.250, 0.549], [0.772, 0.750, 0.451], [0.214, 0.750, 0.338], [0.786, 0.250, 0.662], [0.029, 0.512, 0.698], [0.029, 0.988, 0.698], [0.419, 0.750, 0.177], [0.449, 0.750, 0.584], [0.551, 0.250, 0.416], [0.581, 0.250, 0.823], [0.971, 0.012, 0.302], [0.971, 0.488, 0.302]]
}

---

(4)
{
  "formula": "CsYGeTe3",
  "functional": "PBE",
  "state": "relaxed",
  "sg": "P2_1/m",
  "formation_energy_uncorrected_ev_per_fu": -5.84,
  "cell": [[9.828, 0.000, 0.000], [0.000, 4.337, 0.000], [-4.855, 0.000, 11.318]],
  "species": ["Cs", "Cs", "Y", "Y", "Ge", "Ge", "Te", "Te", "Te", "Te", "Te", "Te"],
  "frac_coords": [[0.234, 0.250, 0.280], [0.766, 0.750, 0.720], [0.367, 0.750, 0.844], [0.633, 0.250, 0.156], [0.117, 0.250, 0.556], [0.883, 0.750, 0.444], [0.120, 0.250, 0.776], [0.318, 0.750, 0.577], [0.394, 0.750, 0.100], [0.606, 0.250, 0.900], [0.682, 0.250, 0.423], [0.880, 0.750, 0.224]]
}

---

(5)
{
  "formula": "Cs2YGeTe4",
  "functional": "PBE",
  "state": "relaxed",
  "sg": "Fddd",
  "formation_energy_uncorrected_ev_per_fu": -6.65,
  "cell": [[0.000, 7.904, 13.963], [3.527, 0.000, 13.963], [3.527, 7.904, 0.000]],
  "species": ["Cs", "Cs", "Cs", "Cs", "Y", "Y", "Ge", "Ge", "Te", "Te", "Te", "Te", "Te", "Te", "Te", "Te"],
  "frac_coords": [[0.056, 0.056, 0.694], [0.306, 0.306, 0.944], [0.694, 0.694, 0.056], [0.944, 0.944, 0.306], [0.125, 0.125, 0.125], [0.875, 0.875, 0.875], [0.375, 0.375, 0.375], [0.625, 0.625, 0.625], [0.016, 0.343, 0.442], [0.301, 0.558, 0.657], [0.343, 0.016, 0.699], [0.442, 0.699, 0.016], [0.558, 0.301, 0.984], [0.657, 0.984, 0.301], [0.699, 0.442, 0.343], [0.984, 0.657, 0.558]]
}

---

(6)
{
  "formula": "Cs2ZrGeTe4",
  "functional": "PBE",
  "state": "relaxed",
  "sg": "Fddd",
  "formation_energy_uncorrected_ev_per_fu": -6.28,
  "cell": [[0.000, 7.603, 13.609], [3.717, 0.000, 13.609], [3.717, 7.603, 0.000]],
  "species": ["Cs", "Cs", "Cs", "Cs", "Zr", "Zr", "Ge", "Ge", "Te", "Te", "Te", "Te", "Te", "Te", "Te", "Te"],
  "frac_coords": [[0.055, 0.055, 0.695], [0.305, 0.305, 0.945], [0.695, 0.695, 0.055], [0.945, 0.945, 0.305], [0.125, 0.125, 0.125], [0.875, 0.875, 0.875], [0.375, 0.375, 0.375], [0.625, 0.625, 0.625], [0.043, 0.317, 0.405], [0.265, 0.595, 0.683], [0.317, 0.043, 0.735], [0.405, 0.735, 0.043], [0.595, 0.265, 0.957], [0.683, 0.957, 0.265], [0.735, 0.405, 0.317], [0.957, 0.683, 0.595]]
}